1.
Compound: CeAs2IrRu
Source: Alexandria via LeMat-Bulk
Functional: PBE
Structure: relaxed

a = 4.116 Å, b = 4.116 Å, c = 6.221 Å
α = 109.32°, β = 109.32°, γ = 90.00°
Positions (direct):
As (0.627, 0.627, 0.254)
As (0.373, 0.373, 0.746)
Ce (0.000, 0.000, 0.000)
Ir (0.250, 0.750, 0.500)
Ru (0.750, 0.250, 0.500)

---

2.
Compound: CaPAu
Source: Alexandria via LeMat-Bulk
Functional: PBE
Structure: relaxed

a = 5.485 Å, b = 5.485 Å, c = 5.485 Å
α = 140.99°, β = 140.99°, γ = 56.35°
Positions (direct):
P (0.628, 0.628, 0.000)
Au (0.035, 0.035, 0.000)
Ca (0.336, 0.336, 0.000)

---

3.
Compound: Ca2Pr2Pt3
Source: Alexandria via LeMat-Bulk
Functional: PBE
Structure: relaxed

a = 5.027 Å, b = 5.027 Å, c = 8.759 Å
α = 89.99°, β = 106.68°, γ = 120.00°
Positions (direct):
Pt (0.513, 0.757, 0.269)
Pt (0.000, 0.000, 0.000)
Pt (0.487, 0.243, 0.731)
Ca (0.260, 0.630, 0.890)
Ca (0.740, 0.370, 0.110)
Pr (0.242, 0.121, 0.363)
Pr (0.758, 0.879, 0.637)

---

4.
Compound: NdThAgPd
Source: Alexandria via LeMat-Bulk
Functional: PBE
Structure: relaxed

a = 5.213 Å, b = 5.213 Å, c = 5.213 Å
α = 60.00°, β = 60.00°, γ = 60.00°
Positions (direct):
Pd (0.750, 0.750, 0.750)
Ag (0.250, 0.250, 0.250)
Th (0.500, 0.500, 0.500)
Nd (0.000, 0.000, 0.000)

---

5.
Compound: BaBeOs
Source: Alexandria via LeMat-Bulk
Functional: PBE
Structure: relaxed

Its distance to the lowest polymorph of the same formula is 1825 meV per atom.

a = 4.975 Å, b = 4.975 Å, c = 4.975 Å
α = 60.00°, β = 60.00°, γ = 60.00°
Positions (direct):
Be (0.000, 0.000, 0.000)
Ba (0.750, 0.750, 0.750)
Os (0.500, 0.500, 0.500)

---

6.
Compound: Ta2MoPt
Source: Alexandria via LeMat-Bulk
Functional: PBE
Structure: relaxed

a = 5.937 Å, b = 5.937 Å, c = 5.937 Å
α = 57.88°, β = 152.92°, γ = 129.88°
Positions (direct):
Mo (0.000, 0.000, 0.000)
Ta (0.000, 0.255, 0.255)
Ta (0.000, 0.745, 0.745)
Pt (0.000, 0.500, 0.500)

---

How do the records compare in spin magnetization? In the order shown, they have 0.136 0.000 0.000 0.000 0.658 0.000 μB/atom.
How do the records compare in E_form? In the order shown, they have -0.6823 -0.3273 -0.8867 -0.3775 2.2491 0.4514 eV/atom.